No. 1
Tc2PdRu2 GGA-PBE relaxed; size of the total moment = 0.00 μB per formula unit; formation enthalpy at 0 K = 0.8 eV per formula unit; symmetry = P4/mbm, No. 127; energy above the lowest structure with this stoichiometry = 0 meV per atom
1.0
7.423 0.000 0.000
0.000 7.423 0.000
0.000 0.000 2.750
Tc Pd Ru
4 2 4
direct
0.167 0.333 0.000 Tc
0.333 0.833 0.000 Tc
0.667 0.167 0.000 Tc
0.833 0.667 0.000 Tc
0.000 0.000 0.500 Pd
0.500 0.500 0.500 Pd
0.127 0.627 0.500 Ru
0.373 0.127 0.500 Ru
0.627 0.873 0.500 Ru
0.873 0.373 0.500 Ru

No. 2
TcPd2Ru2 GGA-PBE relaxed; size of the total moment = 0.00 μB per formula unit; formation enthalpy at 0 K = 3.0 eV per formula unit; symmetry = P4/mbm, No. 127; energy above the lowest structure with this stoichiometry = 0 meV per atom
1.0
7.388 0.000 0.000
0.000 7.388 0.000
0.000 0.000 2.782
Tc Pd Ru
2 4 4
direct
0.000 0.000 0.000 Tc
0.500 0.500 0.000 Tc
0.126 0.374 0.000 Pd
0.374 0.874 0.000 Pd
0.626 0.126 0.000 Pd
0.874 0.626 0.000 Pd
0.173 0.673 0.500 Ru
0.327 0.173 0.500 Ru
0.673 0.827 0.500 Ru
0.827 0.327 0.500 Ru

No. 3
Tc2PdRu2 GGA-PBE relaxed; size of the total moment = 0.00 μB per formula unit; formation enthalpy at 0 K = 0.9 eV per formula unit; symmetry = P4/mbm, No. 127; energy above the lowest structure with this stoichiometry = 24 meV per atom
1.0
7.454 0.000 0.000
0.000 7.454 0.000
0.000 0.000 2.743
Tc Pd Ru
4 2 4
direct
0.123 0.377 0.000 Tc
0.377 0.877 0.000 Tc
0.623 0.123 0.000 Tc
0.877 0.623 0.000 Tc
0.000 0.000 0.000 Pd
0.500 0.500 0.000 Pd
0.168 0.668 0.500 Ru
0.332 0.168 0.500 Ru
0.668 0.832 0.500 Ru
0.832 0.332 0.500 Ru

No. 4
TcPdRu2 GGA-PBE relaxed; size of the total moment = 0.00 μB per formula unit; formation enthalpy at 0 K = 1.6 eV per formula unit; symmetry = Fm-3m, No. 225; energy above the lowest structure with this stoichiometry = 331 meV per atom
1.0
0.000 3.083 3.083
3.083 0.000 3.083
3.083 3.083 0.000
Tc Pd Ru
1 1 2
direct
0.000 0.000 0.000 Tc
0.500 0.500 0.500 Pd
0.250 0.250 0.250 Ru
0.750 0.750 0.750 Ru

No. 5
TcPdRu3 GGA-PBE relaxed; size of the total moment = 2.82 μB per formula unit; formation enthalpy at 0 K = 8.2 eV per formula unit; symmetry = Pm-3m, No. 221; energy above the lowest structure with this stoichiometry = 0 meV per atom
1.0
4.607 0.000 0.000
0.000 4.607 0.000
0.000 0.000 4.607
Tc Pd Ru
1 1 3
direct
0.000 0.000 0.000 Tc
0.500 0.500 0.500 Pd
0.000 0.000 0.500 Ru
0.000 0.500 0.000 Ru
0.500 0.000 0.000 Ru

No. 6
TcPdRu GGA-PBE relaxed; size of the total moment = 0.00 μB per formula unit; formation enthalpy at 0 K = 0.1 eV per formula unit; symmetry = P3m1, No. 156; energy above the lowest structure with this stoichiometry = 0 meV per atom
1.0
2.745 0.000 0.000
-1.372 2.377 0.000
0.000 0.000 6.732
Tc Pd Ru
1 1 1
direct
0.000 0.000 0.000 Tc
0.333 0.667 0.654 Pd
0.667 0.333 0.306 Ru